Entry A
The following is a PBE calculation of crystalline PmPa2 at its relaxed geometry, from Alexandria.

Computed properties:
DOS(E_F) = 1.879 states/eV per atom
M_tot = 0.0 μB/f.u.

Lattice parameters (Å, degrees): 3.233 3.233 8.127 101.47 101.47 90.00
Element x y z (fractional)
Pa (0.673, 0.673, 0.347)
Pa (0.327, 0.327, 0.653)
Pm (0.000, 0.000, 0.000)

Entry B
The following is a PBE calculation of crystalline PmPa2 at its relaxed geometry, from Alexandria.

Computed properties:
DOS(E_F) = 2.503 states/eV per atom
M_tot = 0.0 μB/f.u.

Lattice parameters (Å, degrees): 6.183 6.183 6.183 60.00 60.00 60.00
Element x y z (fractional)
Pa (0.125, 0.625, 0.625)
Pa (0.625, 0.125, 0.625)
Pa (0.625, 0.625, 0.625)
Pa (0.625, 0.625, 0.125)
Pm (0.000, 0.000, 0.000)
Pm (0.250, 0.250, 0.250)

Verdict on stability: entry B comes out at the bottom.